# Pu2WO8 (PBE+U, relaxed)
# ρ ... 7392 kg/m³
# E ... -101.67 eV/f.u.
data_Pu2WO8
_cell_length_a 6.0229
_cell_length_b 9.8941
_cell_length_c 6.0302
_cell_angle_alpha 90.00
_cell_angle_beta 90.00
_cell_angle_gamma 90.00
_symmetry_space_group_name_H-M 'C 2 2 2'
_symmetry_Int_Tables_number 21
loop_
_symmetry_equiv_pos_as_xyz
'x,y,z'
'-x,-y,z'
'x,-y,-z'
'-x,y,-z'
'x+1/2,y+1/2,z'
'-x+1/2,-y+1/2,z'
'x+1/2,-y+1/2,-z'
'-x+1/2,y+1/2,-z'
loop_
_atom_site_label
_atom_site_fract_x
_atom_site_fract_y
_atom_site_fract_z
Pu1 0.2500 0.2500 0.2325
W1 0.0000 0.0000 0.5000
O1 0.0000 0.2070 0.5000
O2 0.0000 0.2621 0.0000
O3 0.2218 0.0373 0.2786